VASP calculation (PBE) on a geometry-optimized In2Co3S2 structure.

Values from the calculation:
For the total DFT energy (no corrections), the calculation gives -37.3 eV per cell. For the magnetization, the calculation gives 0.44 μB/f.u.

Geometry as extended XYZ:
```
7
Lattice="2.6604 1.5360 4.5326 -2.6604 1.5360 4.5326 0.0000 -3.0720 4.5326" Properties=species:S:1:pos:R:3 pbc="T T T"
In 0.0000 0.0000 0.0000
In 0.0000 0.0000 6.7988
Co -1.3302 -0.7680 4.5326
Co -1.3302 0.7680 9.0651
Co 0.0000 1.5360 4.5325
S 0.0000 0.0000 3.0235
S 0.0000 0.0000 10.5741
```